(1)
Below is a relaxed AcIn4Pt2 crystal, with properties calculated at the PBE level.

a = 18.9314 Å, b = 4.6746 Å, c = 7.3843 Å
α = 90.00°, β = 90.00°, γ = 90.00°
Fractional coordinates of all 28 atoms:
Ac (0.1401, 0.2500, 0.0278)
Ac (0.3599, 0.7500, 0.5278)
Ac (0.6401, 0.2500, 0.4722)
Ac (0.8599, 0.7500, 0.9722)
In (0.0340, 0.7500, 0.8395)
In (0.0713, 0.2500, 0.5021)
In (0.1849, 0.7500, 0.3340)
In (0.1921, 0.7500, 0.7343)
In (0.3079, 0.2500, 0.2343)
In (0.3151, 0.2500, 0.8340)
In (0.4287, 0.7500, 0.0021)
In (0.4660, 0.2500, 0.3395)
In (0.5340, 0.7500, 0.6605)
In (0.5713, 0.2500, 0.9979)
In (0.6849, 0.7500, 0.1660)
In (0.6921, 0.7500, 0.7657)
In (0.8079, 0.2500, 0.2657)
In (0.8151, 0.2500, 0.6660)
In (0.9287, 0.7500, 0.4979)
In (0.9660, 0.2500, 0.1605)
Pt (0.0406, 0.7500, 0.2477)
Pt (0.2194, 0.2500, 0.5367)
Pt (0.2806, 0.7500, 0.0367)
Pt (0.4594, 0.2500, 0.7477)
Pt (0.5406, 0.7500, 0.2523)
Pt (0.7194, 0.2500, 0.9633)
Pt (0.7806, 0.7500, 0.4633)
Pt (0.9594, 0.2500, 0.7523)

Output
magnetic moment: 0.0 μB/cell
ΔE_f: -0.6363 eV per atom
density: 10.94 g/cm3
energy above the most stable polymorph in this dataset: 0.000 eV per atom

(2)
Below is a relaxed Ac7In2Pt2 crystal, with properties calculated at the PBE level.

a = 7.5477 Å, b = 7.5477 Å, c = 7.6926 Å
α = 90.00°, β = 90.00°, γ = 108.31°
Fractional coordinates of all 11 atoms:
Ac (0.0000, 0.0000, 0.0000)
Ac (0.0000, 0.5000, 0.2550)
Ac (0.0000, 0.5000, 0.7450)
Ac (0.5000, 0.0000, 0.2550)
Ac (0.5000, 0.0000, 0.7450)
Ac (0.5000, 0.5000, 0.2475)
Ac (0.5000, 0.5000, 0.7525)
In (0.1641, 0.1641, 0.5000)
In (0.8359, 0.8359, 0.5000)
Pt (0.2915, 0.7085, 0.0000)
Pt (0.7085, 0.2915, 0.0000)

Output
magnetic moment: 0.0 μB/cell
ΔE_f: -0.5106 eV per atom
density: 8.82 g/cm3
energy above the most stable polymorph in this dataset: 0.027 eV per atom

(3)
Below is a relaxed Ac3In7Pt4 crystal, with properties calculated at the PBE level.

a = 8.9008 Å, b = 8.9008 Å, c = 10.5069 Å
α = 122.38°, β = 122.38°, γ = 29.91°
Fractional coordinates of all 14 atoms:
Ac (0.0000, 0.0000, 0.0000)
Ac (0.3079, 0.3079, 0.2976)
Ac (0.6921, 0.6921, 0.7024)
In (0.0000, 0.0000, 0.5000)
In (0.1627, 0.1627, 0.4302)
In (0.3201, 0.3201, 0.9750)
In (0.4932, 0.4932, 0.7118)
In (0.5068, 0.5068, 0.2882)
In (0.6799, 0.6799, 0.0250)
In (0.8373, 0.8373, 0.5698)
Pt (0.1188, 0.1188, 0.8437)
Pt (0.3389, 0.3389, 0.7297)
Pt (0.6611, 0.6611, 0.2703)
Pt (0.8812, 0.8812, 0.1563)

Output
magnetic moment: 0.0 μB/cell
ΔE_f: -0.7316 eV per atom
density: 10.89 g/cm3

(4)
Below is a relaxed Ac5InPt2 crystal, with properties calculated at the PBE level.

a = 9.5597 Å, b = 9.5597 Å, c = 9.5597 Å
α = 127.15°, β = 127.15°, γ = 78.01°
Fractional coordinates of all 16 atoms:
Ac (0.0000, 0.0000, 0.0000)
Ac (0.0232, 0.5232, 0.8197)
Ac (0.2035, 0.0232, 0.5000)
Ac (0.2965, 0.7965, 0.8197)
Ac (0.4768, 0.2965, 0.5000)
Ac (0.5000, 0.5000, 0.0000)
Ac (0.5232, 0.7035, 0.5000)
Ac (0.7035, 0.2035, 0.1803)
Ac (0.7965, 0.9768, 0.5000)
Ac (0.9768, 0.4768, 0.1803)
In (0.2500, 0.2500, 0.0000)
In (0.7500, 0.7500, 0.0000)
Pt (0.1383, 0.3617, 0.5000)
Pt (0.3617, 0.8617, 0.2234)
Pt (0.6383, 0.1383, 0.7766)
Pt (0.8617, 0.6383, 0.5000)

Output
magnetic moment: 0.0 μB/cell
ΔE_f: -0.7142 eV per atom
density: 10.13 g/cm3

(5)
Below is a relaxed AcIn6Pt2 crystal, with properties calculated at the PBE level.

a = 9.2017 Å, b = 9.2017 Å, c = 9.2017 Å
α = 60.00°, β = 60.00°, γ = 60.00°
Fractional coordinates of all 18 atoms:
Ac (0.1250, 0.1250, 0.1250)
Ac (0.8750, 0.8750, 0.8750)
In (0.1417, 0.1417, 0.6083)
In (0.1417, 0.6083, 0.1417)
In (0.1417, 0.6083, 0.6083)
In (0.3917, 0.3917, 0.8583)
In (0.3917, 0.8583, 0.3917)
In (0.3917, 0.8583, 0.8583)
In (0.6083, 0.1417, 0.1417)
In (0.6083, 0.1417, 0.6083)
In (0.6083, 0.6083, 0.1417)
In (0.8583, 0.3917, 0.3917)
In (0.8583, 0.3917, 0.8583)
In (0.8583, 0.8583, 0.3917)
Pt (0.0000, 0.5000, 0.5000)
Pt (0.5000, 0.0000, 0.5000)
Pt (0.5000, 0.5000, 0.0000)
Pt (0.5000, 0.5000, 0.5000)

Output
magnetic moment: 0.0 μB/cell
ΔE_f: -0.1301 eV per atom
density: 7.87 g/cm3

(6)
Below is a relaxed AcIn9Pt2 crystal, with properties calculated at the PBE level.

a = 9.6785 Å, b = 9.6785 Å, c = 9.6785 Å
α = 98.42°, β = 98.42°, γ = 135.00°
Fractional coordinates of all 24 atoms:
Ac (0.3750, 0.6250, 0.7500)
Ac (0.6250, 0.3750, 0.2500)
In (0.1083, 0.5530, 0.3144)
In (0.1083, 0.7940, 0.5553)
In (0.1250, 0.8750, 0.2500)
In (0.2060, 0.2613, 0.3144)
In (0.2060, 0.8917, 0.9447)
In (0.2613, 0.2060, 0.8144)
In (0.2613, 0.4470, 0.0553)
In (0.4470, 0.2613, 0.5553)
In (0.4470, 0.8917, 0.1856)
In (0.5530, 0.1083, 0.8144)
In (0.5530, 0.7387, 0.4447)
In (0.7387, 0.5530, 0.9447)
In (0.7387, 0.7940, 0.1856)
In (0.7940, 0.1083, 0.0553)
In (0.7940, 0.7387, 0.6856)
In (0.8750, 0.1250, 0.7500)
In (0.8917, 0.2060, 0.4447)
In (0.8917, 0.4470, 0.6856)
Pt (0.0000, 0.0000, 0.0000)
Pt (0.0000, 0.0000, 0.5000)
Pt (0.0000, 0.5000, 0.0000)
Pt (0.5000, 0.0000, 0.5000)

Output
magnetic moment: 0.0 μB/cell
ΔE_f: -0.2290 eV per atom
density: 9.26 g/cm3

(7)
Below is a relaxed Ac4In2Pt crystal, with properties calculated at the PBE level.

a = 9.4067 Å, b = 9.4067 Å, c = 9.4067 Å
α = 144.29°, β = 144.29°, γ = 51.39°
Fractional coordinates of all 7 atoms:
Ac (0.0000, 0.5000, 0.5000)
Ac (0.1836, 0.1836, 0.0000)
Ac (0.5000, 0.0000, 0.5000)
Ac (0.8164, 0.8164, 0.0000)
In (0.3774, 0.3774, 0.0000)
In (0.6226, 0.6226, 0.0000)
Pt (0.0000, 0.0000, 0.0000)

Output
magnetic moment: 0.0 μB/cell
ΔE_f: -0.4177 eV per atom
density: 7.85 g/cm3
energy above the most stable polymorph in this dataset: 0.149 eV per atom

(8)
Below is a relaxed AcInPtRh crystal, with properties calculated at the PBE level.

a = 5.0156 Å, b = 5.0156 Å, c = 5.0156 Å
α = 60.00°, β = 60.00°, γ = 60.00°
Fractional coordinates of all 4 atoms:
Ac (0.0000, 0.0000, 0.0000)
In (0.5000, 0.5000, 0.5000)
Pt (0.7500, 0.7500, 0.7500)
Rh (0.2500, 0.2500, 0.2500)

Output
magnetic moment: 0.0 μB/cell
ΔE_f: -0.5477 eV per atom
density: 11.91 g/cm3

(9)
Below is a relaxed Ac2InSb3Pt4 crystal, with properties calculated at the PBE level.

a = 4.6830 Å, b = 4.6830 Å, c = 10.9028 Å
α = 90.00°, β = 90.00°, γ = 90.00°
Fractional coordinates of all 10 atoms:
Ac (0.0000, 0.5000, 0.2371)
Ac (0.5000, 0.0000, 0.7629)
In (0.0000, 0.0000, 0.5000)
Sb (0.0000, 0.5000, 0.8726)
Sb (0.5000, 0.0000, 0.1274)
Sb (0.5000, 0.5000, 0.5000)
Pt (0.0000, 0.0000, 0.0000)
Pt (0.0000, 0.5000, 0.6306)
Pt (0.5000, 0.0000, 0.3694)
Pt (0.5000, 0.5000, 0.0000)

Output
formation energy without anion corrections: -0.90 eV/atom
magnetic moment: 0.0 μB/cell
density: 11.91 g/cm3

(10)
Below is a relaxed Ac2InSbPt6 crystal, with properties calculated at the PBE level.

a = 6.9160 Å, b = 6.9160 Å, c = 9.0848 Å
α = 129.11°, β = 129.11°, γ = 47.86°
Fractional coordinates of all 10 atoms:
Ac (0.2470, 0.2470, 0.2055)
Ac (0.7530, 0.7530, 0.7945)
In (0.5000, 0.5000, 0.0000)
Sb (0.0000, 0.0000, 0.5000)
Pt (0.2485, 0.7479, 0.7461)
Pt (0.2521, 0.7515, 0.2539)
Pt (0.2528, 0.2528, 0.5977)
Pt (0.7472, 0.7472, 0.4023)
Pt (0.7479, 0.2485, 0.7461)
Pt (0.7515, 0.2521, 0.2539)

Output
formation energy without anion corrections: -0.77 eV/atom
magnetic moment: 0.0 μB/cell
density: 13.25 g/cm3

(11)
Below is a relaxed Ac3InSb2Pt9 crystal, with properties calculated at the PBE level.

a = 6.7446 Å, b = 6.7446 Å, c = 10.1085 Å
α = 90.00°, β = 90.00°, γ = 120.00°
Fractional coordinates of all 15 atoms:
Ac (0.0000, 0.0000, 0.0000)
Ac (0.3333, 0.6667, 0.7501)
Ac (0.6667, 0.3333, 0.2499)
In (0.0000, 0.0000, 0.5000)
Sb (0.3333, 0.6667, 0.1849)
Sb (0.6667, 0.3333, 0.8151)
Pt (0.0000, 0.5000, 0.0000)
Pt (0.1329, 0.2657, 0.2784)
Pt (0.1329, 0.8671, 0.2784)
Pt (0.2657, 0.1329, 0.7216)
Pt (0.5000, 0.0000, 0.0000)
Pt (0.5000, 0.5000, 0.0000)
Pt (0.7343, 0.8671, 0.2784)
Pt (0.8671, 0.1329, 0.7216)
Pt (0.8671, 0.7343, 0.7216)

Output
formation energy without anion corrections: -0.61 eV/atom
magnetic moment: 0.0 μB/cell
density: 11.66 g/cm3

(12)
Below is a relaxed AcScInPt2 crystal, with properties calculated at the PBE level.

a = 6.9706 Å, b = 6.9706 Å, c = 6.9706 Å
α = 143.75°, β = 143.75°, γ = 52.21°
Fractional coordinates of all 5 atoms:
Ac (0.0000, 0.0000, 0.0000)
Sc (0.2500, 0.7500, 0.5000)
In (0.7500, 0.2500, 0.5000)
Pt (0.3910, 0.3910, 0.0000)
Pt (0.6090, 0.6090, 0.0000)

Output
magnetic moment: 0.0 μB/cell
ΔE_f: -1.0021 eV per atom
density: 10.96 g/cm3